1.
A geometry-optimized Nd2TaCuSb4 structure, computed with PBE-GGA.

Unit cell a=4.2919 b=4.2919 c=10.8985 alpha=90.00 beta=90.00 gamma=90.00
Closest atoms and distances in Å follow each position.
Fractional coordinates of all 8 atoms:
Sb 0.5000 0.5000 0.5000  4 Sb 3.03, 4 Nd 3.30
Sb 0.0000 0.5000 0.1627  2 Ta 2.78, 2 Cu 2.78
Nd 0.5000 0.0000 0.2701  8 Sb 3.25-3.30, 2 Ta 3.64, 2 Cu 3.64
Sb 0.5000 0.0000 0.8373  2 Ta 2.78, 2 Cu 2.78
Nd 0.0000 0.5000 0.7299  8 Sb 3.25-3.30, 2 Ta 3.64, 2 Cu 3.64
Cu 0.0000 0.0000 0.0000  4 Sb 2.78, 4 Ta 3.03
Sb 0.0000 0.0000 0.5000  4 Sb 3.03, 4 Nd 3.30
Ta 0.5000 0.5000 0.0000  4 Sb 2.78, 4 Cu 3.03

Summary:
M_tot = 0.0 μB per formula unit
Symmetry = P-4m2 (115)
Total DFT energy (no corrections) = -5.70 eV per atom

---

2.
A geometry-optimized GdDy2Tm3OsS2 structure, computed with PBE-GGA.

Unit cell a=3.9572 b=7.7661 c=7.7661 alpha=119.55 beta=90.00 gamma=90.00
Closest atoms and distances in Å follow each position.
Fractional coordinates of all 9 atoms:
Gd 0.0000 0.5902 0.5902  4 S 3.06, 1 Os 3.24, 6 Tm 3.31-3.41
Os 0.0000 0.0052 0.0052  6 Tm 2.76-2.78
Tm 0.5000 0.2512 0.2512  2 Os 2.76, 2 S 2.96
S 0.5000 0.6661 0.3336  3 Tm 2.96-2.98, 2 Gd 3.06, 4 Dy 3.08-3.09
Tm 0.5000 0.7503 0.9992  2 Os 2.78, 2 S 2.97-2.98
Tm 0.5000 0.9992 0.7503  2 Os 2.78, 2 S 2.97-2.98
S 0.5000 0.3336 0.6661  3 Tm 2.96-2.98, 2 Gd 3.06, 4 Dy 3.08-3.09
Dy 0.0000 0.4051 0.9991  4 S 3.08-3.09, 1 Os 3.13, 6 Tm 3.33-3.40
Dy 0.0000 0.9991 0.4051  4 S 3.08-3.09, 1 Os 3.13, 6 Tm 3.33-3.40

Summary:
M_tot = 0.0 μB per formula unit
Symmetry = Amm2 (38)
Total DFT energy (no corrections) = -6.01 eV per atom

---

3.
A geometry-optimized CdCuSbAu structure, computed with PBE-GGA.

Unit cell a=4.8251 b=4.8251 c=4.8251 alpha=60.00 beta=60.00 gamma=60.00
Closest atoms and distances in Å follow each position.
Fractional coordinates of all 4 atoms:
Cd 0.5000 0.5000 0.5000  4 Cu 2.95, 4 Au 2.95
Cu 0.7500 0.7500 0.7500  4 Cd 2.95, 4 Sb 2.95
Sb 0.0000 0.0000 0.0000  4 Au 2.95, 4 Cu 2.95
Au 0.2500 0.2500 0.2500  4 Cd 2.95, 4 Sb 2.95

Summary:
Symmetry = F-43m (216)
Energy relative to the lowest polymorph listed for this composition = 0 meV per atom

---

4.
A geometry-optimized BaZnO3 structure, computed with PBE-GGA.

Unit cell a=6.2843 b=6.2843 c=6.2843 alpha=60.10 beta=60.10 gamma=60.10
Closest atoms and distances in Å follow each position.
Fractional coordinates of all 10 atoms:
Zn 0.7500 0.7500 0.7500  3 O 1.83
Zn 0.2500 0.2500 0.2500  3 O 1.83
Ba 0.5000 0.5000 0.5000  6 O 2.59
O 0.5402 0.9598 0.2500  1 Zn 1.83
O 0.2500 0.5402 0.9598  1 Zn 1.83
Ba 0.0000 0.0000 0.0000  6 O 2.59
O 0.7500 0.4598 0.0402  1 Zn 1.83
O 0.9598 0.2500 0.5402  1 Zn 1.83
O 0.0402 0.7500 0.4598  1 Zn 1.83
O 0.4598 0.0402 0.7500  1 Zn 1.83

Summary:
Symmetry = R-3c (167)
Total DFT energy (no corrections) = -4.71 eV per atom

---

5.
A geometry-optimized Gd4C2SeBr structure, computed with PBE-GGA.

Unit cell a=3.7681 b=3.7681 c=13.8868 alpha=90.00 beta=90.00 gamma=120.00
Closest atoms and distances in Å follow each position.
Fractional coordinates of all 8 atoms:
Se 0.3333 0.6667 0.5000  6 Gd 2.95
C 0.0000 0.0000 0.2518  6 Gd 2.49-2.62
Gd 0.6667 0.3333 0.6436  3 C 2.62
Br 0.6667 0.3333 0.0000  6 Gd 3.16
Gd 0.3333 0.6667 0.8350  3 C 2.49
Gd 0.6667 0.3333 0.3564  3 C 2.62
C 0.0000 0.0000 0.7482  6 Gd 2.49-2.62
Gd 0.3333 0.6667 0.1650  3 C 2.49

Summary:
M_tot = 0.0 μB per formula unit
Symmetry = P-6m2 (187)
Total DFT energy (no corrections) = -6.32 eV per atom

---

6.
A geometry-optimized SmAgSnTe2Se structure, computed with PBE-GGA.

Unit cell a=7.6366 b=7.6366 c=10.7190 alpha=90.00 beta=90.00 gamma=147.16
Closest atoms and distances in Å follow each position.
Fractional coordinates of all 12 atoms:
Sm 0.0000 0.0000 0.0000  2 Se 2.98, 4 Te 3.17
Se 0.9116 0.0884 0.2500  2 Ag 2.70, 2 Sm 2.98
Se 0.0884 0.9116 0.7500  2 Ag 2.70, 2 Sm 2.98
Te 0.3474 0.6526 0.5585  1 Ag 2.80
Sn 0.7452 0.2548 0.7500  2 Se 3.15, 4 Te 3.33
Ag 0.4772 0.5228 0.7500  2 Se 2.70, 2 Te 2.80
Te 0.6526 0.3474 0.0585  1 Ag 2.80
Te 0.6526 0.3474 0.4415  1 Ag 2.80
Sn 0.2548 0.7452 0.2500  2 Se 3.15, 4 Te 3.33
Sm 0.0000 0.0000 0.5000  2 Se 2.98, 4 Te 3.17
Te 0.3474 0.6526 0.9415  1 Ag 2.80
Ag 0.5228 0.4772 0.2500  2 Se 2.70, 2 Te 2.80

Summary:
M_tot = 0.0 μB per formula unit
Symmetry = Cmcm (63)
Total DFT energy (no corrections) = -4.30 eV per atom

---

7.
A geometry-optimized Nd2AlTlZn2 structure, computed with PBE-GGA.

Unit cell a=4.6722 b=4.6722 c=7.5673 alpha=90.00 beta=90.00 gamma=120.00
Closest atoms and distances in Å follow each position.
Fractional coordinates of all 6 atoms:
Zn 0.0000 0.0000 0.5537  3 Tl 2.78, 3 Nd 3.08
Tl 0.6667 0.3333 0.4669  3 Zn 2.78
Al 0.0000 0.0000 0.9676  3 Zn 2.73
Nd 0.3333 0.6667 0.2390  3 Zn 3.15, 3 Tl 3.20, 3 Al 3.39
Nd 0.3333 0.6667 0.7489  6 Zn 3.08-3.41, 3 Al 3.16, 3 Tl 3.44
Zn 0.6667 0.3333 0.0240  3 Al 2.73

Summary:
M_tot = 0.0 μB per formula unit
Symmetry = P3m1 (156)
Total DFT energy (no corrections) = -3.43 eV per atom

---

8.
A geometry-optimized TaNb6Re structure, computed with PBE-GGA.

Unit cell a=4.6286 b=4.6286 c=6.5837 alpha=90.00 beta=90.00 gamma=90.00
Closest atoms and distances in Å follow each position.
Fractional coordinates of all 8 atoms:
Nb 0.0000 0.0000 0.5000  8 Nb 2.87
Nb 0.5000 0.5000 0.0000  8 Nb 2.81
Nb 0.0000 0.5000 0.2433  2 Re 2.81, 4 Nb 2.81-2.87, 2 Ta 2.87
Nb 0.5000 0.0000 0.2433  4 Nb 2.81-2.87, 2 Re 2.81, 2 Ta 2.87
Re 0.0000 0.0000 0.0000  8 Nb 2.81
Nb 0.5000 0.0000 0.7567  4 Nb 2.81-2.87, 2 Re 2.81, 2 Ta 2.87
Ta 0.5000 0.5000 0.5000  8 Nb 2.87
Nb 0.0000 0.5000 0.7567  2 Re 2.81, 4 Nb 2.81-2.87, 2 Ta 2.87

Summary:
M_tot = 0.0 μB per formula unit
Symmetry = P4/mmm (123)
ΔH_f (0 K) = -0.73 eV/f.u.

---

9.
A geometry-optimized MgGa2NiIr4 structure, computed with PBE-GGA.

Unit cell a=4.3008 b=4.3008 c=6.0407 alpha=90.00 beta=90.00 gamma=90.00
Closest atoms and distances in Å follow each position.
Fractional coordinates of all 8 atoms:
Ir 0.0000 0.5000 0.7404  2 Ni 2.59, 4 Ga 2.59-2.66, 2 Mg 2.66, 1 Ir 2.90
Ir 0.5000 0.0000 0.7404  2 Ni 2.59, 4 Ga 2.59-2.66, 2 Mg 2.66, 1 Ir 2.90
Ga 0.0000 0.0000 0.5000  8 Ir 2.59
Mg 0.0000 0.0000 0.0000  8 Ir 2.66
Ga 0.5000 0.5000 0.0000  8 Ir 2.66
Ni 0.5000 0.5000 0.5000  8 Ir 2.59
Ir 0.0000 0.5000 0.2596  2 Ni 2.59, 4 Ga 2.59-2.66, 2 Mg 2.66, 1 Ir 2.90
Ir 0.5000 0.0000 0.2596  2 Ni 2.59, 4 Ga 2.59-2.66, 2 Mg 2.66, 1 Ir 2.90

Summary:
M_tot = 1.5 μB per formula unit
Symmetry = P4/mmm (123)
Total DFT energy (no corrections) = -6.39 eV per atom

---

10.
A geometry-optimized LaPm2N3 structure, computed with PBE-GGA.

Unit cell a=3.6397 b=3.6397 c=8.9408 alpha=90.00 beta=90.00 gamma=120.00
Closest atoms and distances in Å follow each position.
Fractional coordinates of all 6 atoms:
N 0.6667 0.3333 0.6731  3 Pm 2.56, 3 La 2.61
N 0.0000 0.0000 0.0000  6 Pm 2.56
Pm 0.6667 0.3333 0.1631  6 N 2.56
N 0.3333 0.6667 0.3269  3 Pm 2.56, 3 La 2.61
Pm 0.3333 0.6667 0.8369  6 N 2.56
La 0.0000 0.0000 0.5000  6 N 2.61

Summary:
M_tot = 0.0 μB per formula unit
Symmetry = P-3m1 (164)
Total DFT energy (no corrections) = -7.96 eV per atom

---

11.
A geometry-optimized Pr2DyMg4Tl2 structure, computed with PBE-GGA.

Unit cell a=4.7564 b=7.6648 c=7.6648 alpha=119.06 beta=90.00 gamma=90.00
Closest atoms and distances in Å follow each position.
Fractional coordinates of all 9 atoms:
Pr 0.0000 0.9971 0.5692  5 Mg 3.32-3.70, 4 Tl 3.33
Mg 0.5000 0.2427 0.0000  2 Tl 2.97-3.01, 4 Mg 3.00-3.24
Tl 0.5000 0.6595 0.3338  3 Mg 2.97-3.01, 2 Dy 3.25
Mg 0.0000 0.0079 0.0079  6 Mg 3.00-3.06, 1 Dy 3.28, 2 Pr 3.32
Mg 0.5000 0.7596 0.7596  2 Tl 2.97, 4 Mg 3.06-3.24
Tl 0.5000 0.3338 0.6595  3 Mg 2.97-3.01, 2 Dy 3.25
Pr 0.0000 0.5692 0.9971  5 Mg 3.32-3.70, 4 Tl 3.33
Dy 0.0000 0.4300 0.4300  4 Tl 3.25, 3 Mg 3.28-3.50
Mg 0.5000 0.0000 0.2427  2 Tl 2.97-3.01, 4 Mg 3.00-3.24

Summary:
M_tot = 0.0 μB per formula unit
Symmetry = Amm2 (38)
Total DFT energy (no corrections) = -3.05 eV per atom

---

12.
A geometry-optimized MgTaBiMo structure, computed with PBE-GGA.

Unit cell a=4.7498 b=4.7498 c=4.7498 alpha=60.00 beta=60.00 gamma=60.00
Closest atoms and distances in Å follow each position.
Fractional coordinates of all 4 atoms:
Mo 0.2500 0.2500 0.2500  4 Ta 2.91, 4 Bi 2.91
Ta 0.5000 0.5000 0.5000  4 Mg 2.91, 4 Mo 2.91
Mg 0.7500 0.7500 0.7500  4 Ta 2.91, 4 Bi 2.91
Bi 0.0000 0.0000 0.0000  4 Mg 2.91, 4 Mo 2.91

Summary:
M_tot = 0.0 μB per formula unit
Symmetry = F-43m (216)
Energy relative to the lowest polymorph listed for this composition = 0 meV per atom